Entry from Alexandria: an optimized crystal structure of KLaYPb2 (PBEsol).

Cell lengths 6.109, 6.109, 5.780 Å; angles 90.00, 90.00, 90.00 degrees
Space group P4/mmm (No. 123)
Unique sites:
K (0.000, 0.000, 0.000)
La (0.500, 0.500, 0.500)
Y (0.500, 0.500, 0.000)
Pb (0.000, 0.500, 0.500)

N(E_F) = 4.9 states/eV per cell
E_form = 0.451 eV per atom
Total energy = -19.05 eV/cell
Magnetization = 0.00 μB/cell

---

Entry from Alexandria: an optimized crystal structure of BaAsW3 (PBEsol).

Cell lengths 4.945, 4.945, 4.945 Å; angles 90.00, 90.00, 90.00 degrees
Space group Pm-3m (No. 221)
Unique sites:
Ba (0.000, 0.000, 0.000)
As (0.500, 0.500, 0.500)
W (0.000, 0.000, 0.500)

N(E_F) = 8.6 states/eV per cell
E_form = 3.951 eV per atom
Total energy = -28.93 eV/cell
Magnetization = 0.00 μB/cell

---

Entry from Alexandria: an optimized crystal structure of AlSb2Rh (PBEsol).

Cell lengths 3.061, 4.601, 11.610 Å; angles 90.00, 90.00, 90.00 degrees
Space group Imm2 (No. 44)
Unique sites:
Al (0.000, 0.000, 0.000)
Sb (0.000, 0.000, 0.384)
Sb (0.000, 0.500, 0.172)
Rh (0.000, 0.500, 0.683)

N(E_F) = 5.3 states/eV per cell
Total energy = -43.23 eV/cell
Magnetization = 0.00 μB/cell
Formation energy without anion corrections = -1.548 kcal/mol of atoms